Material: Pd2Se3
Method: DFT, PBE
State: relaxed

Cell lengths 6.547, 6.547, 7.110 Å; angles 121.79, 121.79, 58.80 degrees
Fractional coordinates of all 10 atoms:
Pd (0.059, 0.941, 0.500)
Pd (0.419, 0.785, 0.273)
Pd (0.785, 0.419, 0.773)
Pd (0.941, 0.059, 0.000)
Se (0.159, 0.234, 0.442)
Se (0.234, 0.159, 0.942)
Se (0.412, 0.515, 0.428)
Se (0.515, 0.412, 0.928)
Se (0.774, 0.852, 0.072)
Se (0.852, 0.774, 0.572)

Computed properties:
Final energy: -43.0 eV per cell



Material: HfBePd2
Method: DFT, PBE
State: relaxed

Cell lengths 6.246, 6.246, 6.246 Å; angles 90.00, 90.00, 90.00 degrees
Fractional coordinates of all 16 atoms:
Hf (0.000, 0.000, 0.000)
Hf (0.000, 0.500, 0.500)
Hf (0.500, 0.000, 0.500)
Hf (0.500, 0.500, 0.000)
Be (0.250, 0.250, 0.750)
Be (0.250, 0.750, 0.250)
Be (0.750, 0.250, 0.250)
Be (0.750, 0.750, 0.750)
Pd (0.000, 0.000, 0.500)
Pd (0.000, 0.500, 0.000)
Pd (0.250, 0.250, 0.250)
Pd (0.250, 0.750, 0.750)
Pd (0.500, 0.000, 0.000)
Pd (0.500, 0.500, 0.500)
Pd (0.750, 0.250, 0.750)
Pd (0.750, 0.750, 0.250)

Computed properties:
Final energy: -101.2 eV per cell



Material: TaAlCuTc
Method: DFT, PBE
State: relaxed

Cell lengths 6.182, 6.182, 6.182 Å; angles 90.00, 90.00, 90.00 degrees
Fractional coordinates of all 16 atoms:
Ta (0.000, 0.000, 0.000)
Ta (0.000, 0.500, 0.500)
Ta (0.500, 0.000, 0.500)
Ta (0.500, 0.500, 0.000)
Al (0.000, 0.000, 0.500)
Al (0.000, 0.500, 0.000)
Al (0.500, 0.000, 0.000)
Al (0.500, 0.500, 0.500)
Cu (0.250, 0.250, 0.750)
Cu (0.250, 0.750, 0.250)
Cu (0.750, 0.250, 0.250)
Cu (0.750, 0.750, 0.750)
Tc (0.250, 0.250, 0.250)
Tc (0.250, 0.750, 0.750)
Tc (0.750, 0.250, 0.750)
Tc (0.750, 0.750, 0.250)

Computed properties:
Final energy: -121.8 eV per cell



Material: Ba2Na2Co
Method: DFT, PBE
State: relaxed

Cell lengths 4.040, 4.040, 10.626 Å; angles 90.00, 90.00, 90.00 degrees
Fractional coordinates of all 5 atoms:
Ba (0.000, 0.000, 0.166)
Ba (0.000, 0.000, 0.834)
Na (0.000, 0.500, 0.500)
Na (0.500, 0.000, 0.500)
Co (0.500, 0.500, 0.000)

Computed properties:
Final energy: -11.5 eV per cell



Material: Sc2TcHgC
Method: DFT, PBE
State: relaxed

Cell lengths 4.585, 4.585, 4.002 Å; angles 90.00, 90.00, 90.00 degrees
Fractional coordinates of all 5 atoms:
Sc (0.000, 0.500, 0.000)
Sc (0.500, 0.000, 0.000)
Tc (0.000, 0.000, 0.500)
Hg (0.500, 0.500, 0.500)
C (0.000, 0.000, 0.000)

Computed properties:
Final energy: -34.7 eV per cell



Material: RbErO3
Method: DFT, PBE
State: relaxed

Cell lengths 6.192, 6.192, 6.192 Å; angles 61.37, 61.37, 61.37 degrees
Fractional coordinates of all 10 atoms:
Rb (0.250, 0.250, 0.250)
Rb (0.750, 0.750, 0.750)
Er (0.000, 0.000, 0.000)
Er (0.500, 0.500, 0.500)
O (0.239, 0.750, 0.261)
O (0.250, 0.739, 0.761)
O (0.261, 0.239, 0.750)
O (0.739, 0.761, 0.250)
O (0.750, 0.261, 0.239)
O (0.761, 0.250, 0.739)

Computed properties:
Final energy: -59.8 eV per cell